Computed, not measured: a relaxed structure of Ge3TeRu at the PBE-GGA level of DFT.

abc: 4.9649 4.9649 4.9649
angles: 90.00 90.00 90.00
Closest atoms and distances in Å follow each position.
Fractional positions:
Ge  0.0000  0.5000  0.0000  2 Ru 2.48
Ge  0.0000  0.0000  0.5000  2 Ru 2.48
Ge  0.5000  0.0000  0.0000  2 Ru 2.48
Te  0.5000  0.5000  0.5000  12 Ge 3.51
Ru  0.0000  0.0000  0.0000  6 Ge 2.48

Summary:
formation energy (no corrections)	5.8	kJ/mol of atoms
final energy	-5.194	eV per atom
volume	122.4	Å³ per cell
crystal system	cubic
energy relative to the lowest polymorph listed for this composition	0	meV per atom
DOS at the Fermi energy	0.11	states/eV per atom